Record 1
First-principles (PBE) data for a relaxed structure of Ba4Ag, as listed in Alexandria.

Cell lengths 8.1301, 8.1301, 8.1301 Å; angles 90.00, 90.00, 90.00 degrees
Last column: nearest neighbours and their distance in Å.
Fractional coordinates of all 10 atoms:
1 Ba 0.2500 0.2500 0.2500  2 Ag 3.52
2 Ba 0.2500 0.2500 0.7500  2 Ag 3.52
3 Ba 0.2500 0.7500 0.2500  2 Ag 3.52
4 Ba 0.2500 0.7500 0.7500  2 Ag 3.52
5 Ba 0.7500 0.2500 0.2500  2 Ag 3.52
6 Ba 0.7500 0.2500 0.7500  2 Ag 3.52
7 Ba 0.7500 0.7500 0.2500  2 Ag 3.52
8 Ba 0.7500 0.7500 0.7500  2 Ag 3.52
9 Ag 0.0000 0.0000 0.0000  8 Ba 3.52
10 Ag 0.5000 0.5000 0.5000  8 Ba 3.52

## Properties
- Distance to the lowest polymorph of the same formula: 141 meV/atom
- Space group: Im-3m (229)
- Energy of formation from the pure elements: 0.060 eV/atom

***

Record 2
First-principles (PBE) data for a relaxed structure of BaAg2, as listed in Alexandria.

Cell lengths 6.1266, 6.1266, 6.1266 Å; angles 60.00, 60.00, 60.00 degrees
Last column: nearest neighbours and their distance in Å.
Fractional coordinates of all 6 atoms:
1 Ba 0.1250 0.1250 0.1250  12 Ag 3.59, 4 Ba 3.75
2 Ba 0.8750 0.8750 0.8750  12 Ag 3.59, 4 Ba 3.75
3 Ag 0.0000 0.5000 0.5000  6 Ag 3.06
4 Ag 0.5000 0.0000 0.5000  6 Ag 3.06
5 Ag 0.5000 0.5000 0.0000  6 Ag 3.06
6 Ag 0.5000 0.5000 0.5000  6 Ag 3.06

## Properties
- Space group: Fd-3m (227)
- Energy of formation from the pure elements: -0.151 eV/atom

***

Record 3
First-principles (PBE) data for a relaxed structure of Ba3Ag, as listed in Alexandria.

Cell lengths 4.2202, 4.2202, 10.9468 Å; angles 90.00, 90.00, 90.00 degrees
Last column: nearest neighbours and their distance in Å.
Fractional coordinates of all 4 atoms:
1 Ba 0.0000 0.0000 0.0000  12 Ba 4.22-4.62
2 Ba 0.5000 0.5000 0.3220  4 Ag 3.56, 1 Ba 3.90
3 Ba 0.5000 0.5000 0.6780  4 Ag 3.56, 1 Ba 3.90
4 Ag 0.0000 0.0000 0.5000  8 Ba 3.56

## Properties
- Distance to the lowest polymorph of the same formula: 11 meV/atom
- Space group: P4/mmm (123)
- Energy of formation from the pure elements: -0.118 eV/atom

***

Record 4
First-principles (PBE) data for a relaxed structure of BaAg2, as listed in Alexandria.

Cell lengths 7.8147, 7.8147, 7.8147 Å; angles 90.00, 90.00, 90.00 degrees
Last column: nearest neighbours and their distance in Å.
Fractional coordinates of all 12 atoms:
1 Ba 0.0000 0.0000 0.0000  8 Ag 3.38
2 Ba 0.0000 0.5000 0.5000  8 Ag 3.38
3 Ba 0.5000 0.0000 0.5000  8 Ag 3.38
4 Ba 0.5000 0.5000 0.0000  8 Ag 3.38
5 Ag 0.2500 0.2500 0.2500  4 Ba 3.38
6 Ag 0.2500 0.2500 0.7500  4 Ba 3.38
7 Ag 0.2500 0.7500 0.2500  4 Ba 3.38
8 Ag 0.2500 0.7500 0.7500  4 Ba 3.38
9 Ag 0.7500 0.2500 0.2500  4 Ba 3.38
10 Ag 0.7500 0.2500 0.7500  4 Ba 3.38
11 Ag 0.7500 0.7500 0.2500  4 Ba 3.38
12 Ag 0.7500 0.7500 0.7500  4 Ba 3.38

## Properties
- Space group: Fm-3m (225)
- Energy of formation from the pure elements: 0.150 eV/atom

***

Record 5
First-principles (PBE) data for a relaxed structure of Ba3Ag, as listed in Alexandria.

Cell lengths 4.7362, 4.7362, 34.4617 Å; angles 90.00, 90.00, 120.00 degrees
Last column: nearest neighbours and their distance in Å.
Fractional coordinates of all 12 atoms:
1 Ba 0.0000 0.0000 0.0000  12 Ba 4.69-4.74
2 Ba 0.0000 0.0000 0.2228  3 Ag 3.35
3 Ba 0.0000 0.0000 0.7772  3 Ag 3.35
4 Ba 0.3333 0.6667 0.4439  3 Ag 3.35
5 Ba 0.3333 0.6667 0.6667  12 Ba 4.69-4.74
6 Ba 0.3333 0.6667 0.8894  3 Ag 3.35
7 Ba 0.6667 0.3333 0.1106  3 Ag 3.35
8 Ba 0.6667 0.3333 0.3333  12 Ba 4.69-4.74
9 Ba 0.6667 0.3333 0.5561  3 Ag 3.35
10 Ag 0.0000 0.0000 0.5000  6 Ba 3.35
11 Ag 0.3333 0.6667 0.1667  6 Ba 3.35
12 Ag 0.6667 0.3333 0.8333  6 Ba 3.35

## Properties
- Distance to the lowest polymorph of the same formula: 60 meV/atom
- Space group: R-3m (166)
- Energy of formation from the pure elements: -0.069 eV/atom

***

Record 6
First-principles (PBE) data for a relaxed structure of BaAg, as listed in Alexandria.

Cell lengths 4.8467, 4.8467, 12.1148 Å; angles 90.00, 90.00, 90.00 degrees
Last column: nearest neighbours and their distance in Å.
Fractional coordinates of all 8 atoms:
1 Ba 0.0000 0.2500 0.3750  4 Ag 3.43
2 Ba 0.0000 0.7500 0.6250  4 Ag 3.43
3 Ba 0.5000 0.2500 0.1250  4 Ag 3.43
4 Ba 0.5000 0.7500 0.8750  4 Ag 3.43
5 Ag 0.0000 0.2500 0.8750  4 Ba 3.43
6 Ag 0.0000 0.7500 0.1250  4 Ba 3.43
7 Ag 0.5000 0.2500 0.6250  4 Ba 3.43
8 Ag 0.5000 0.7500 0.3750  4 Ba 3.43

## Properties
- Space group: I4_1/amd (141)
- Energy of formation from the pure elements: -0.073 eV/atom

***

Record 7
First-principles (PBE) data for a relaxed structure of Ba3Ag, as listed in Alexandria.

Cell lengths 8.8123, 8.8123, 8.8123 Å; angles 90.00, 90.00, 90.00 degrees
Last column: nearest neighbours and their distance in Å.
Fractional coordinates of all 16 atoms:
1 Ba 0.0000 0.0000 0.0000  8 Ba 3.82
2 Ba 0.0000 0.5000 0.5000  8 Ba 3.82
3 Ba 0.2500 0.2500 0.2500  4 Ag 3.82, 4 Ba 3.82
4 Ba 0.2500 0.2500 0.7500  4 Ba 3.82, 4 Ag 3.82
5 Ba 0.2500 0.7500 0.2500  4 Ba 3.82, 4 Ag 3.82
6 Ba 0.2500 0.7500 0.7500  4 Ag 3.82, 4 Ba 3.82
7 Ba 0.5000 0.0000 0.5000  8 Ba 3.82
8 Ba 0.5000 0.5000 0.0000  8 Ba 3.82
9 Ba 0.7500 0.2500 0.2500  4 Ba 3.82, 4 Ag 3.82
10 Ba 0.7500 0.2500 0.7500  4 Ag 3.82, 4 Ba 3.82
11 Ba 0.7500 0.7500 0.2500  4 Ag 3.82, 4 Ba 3.82
12 Ba 0.7500 0.7500 0.7500  4 Ba 3.82, 4 Ag 3.82
13 Ag 0.0000 0.0000 0.5000  8 Ba 3.82
14 Ag 0.0000 0.5000 0.0000  8 Ba 3.82
15 Ag 0.5000 0.0000 0.0000  8 Ba 3.82
16 Ag 0.5000 0.5000 0.5000  8 Ba 3.82

## Properties
- Distance to the lowest polymorph of the same formula: 257 meV/atom
- Space group: Fm-3m (225)
- Energy of formation from the pure elements: 0.128 eV/atom

***

Record 8
First-principles (PBE) data for a relaxed structure of Ba3Ag, as listed in Alexandria.

Cell lengths 4.3107, 13.7544, 6.5562 Å; angles 90.00, 90.00, 90.00 degrees
Last column: nearest neighbours and their distance in Å.
Fractional coordinates of all 8 atoms:
1 Ba 0.0000 0.0000 0.0000  4 Ag 3.91-3.94, 6 Ba 4.19-4.31
2 Ba 0.0000 0.1898 0.5004  2 Ag 3.39
3 Ba 0.0000 0.8102 0.5004  2 Ag 3.39
4 Ba 0.5000 0.3102 0.0004  2 Ag 3.39
5 Ba 0.5000 0.5000 0.5000  4 Ag 3.91-3.94, 6 Ba 4.19-4.31
6 Ba 0.5000 0.6898 0.0004  2 Ag 3.39
7 Ag 0.0000 0.5000 0.9971  4 Ba 3.39
8 Ag 0.5000 0.0000 0.4971  4 Ba 3.39

## Properties
- Distance to the lowest polymorph of the same formula: 54 meV/atom
- Space group: Imm2 (44)
- Energy of formation from the pure elements: -0.075 eV/atom

***

Record 9
First-principles (PBE) data for a relaxed structure of BaAg, as listed in Alexandria.

Cell lengths 4.5015, 12.5344, 8.2702 Å; angles 90.00, 90.00, 90.00 degrees
Last column: nearest neighbours and their distance in Å.
Fractional coordinates of all 12 atoms:
1 Ba 0.0000 0.0000 0.0000  5 Ag 3.37-3.47
2 Ba 0.0000 0.3180 0.1338  5 Ag 3.30-3.66
3 Ba 0.0000 0.6820 0.1338  5 Ag 3.30-3.66
4 Ba 0.5000 0.1820 0.6338  5 Ag 3.30-3.66
5 Ba 0.5000 0.5000 0.5000  5 Ag 3.37-3.47
6 Ba 0.5000 0.8180 0.6338  5 Ag 3.30-3.66
7 Ag 0.0000 0.0000 0.4195  4 Ag 3.04
8 Ag 0.0000 0.3834 0.7471  3 Ag 2.92-3.04
9 Ag 0.0000 0.6166 0.7471  3 Ag 2.92-3.04
10 Ag 0.5000 0.1166 0.2471  3 Ag 2.92-3.04
11 Ag 0.5000 0.5000 0.9195  4 Ag 3.04
12 Ag 0.5000 0.8834 0.2471  3 Ag 2.92-3.04

## Properties
- Space group: Imm2 (44)
- Energy of formation from the pure elements: -0.130 eV/atom

***

Record 10
First-principles (PBE) data for a relaxed structure of BaAg2, as listed in Alexandria.

Cell lengths 5.8191, 5.8191, 10.6162 Å; angles 90.00, 90.00, 90.00 degrees
Last column: nearest neighbours and their distance in Å.
Fractional coordinates of all 12 atoms:
1 Ba 0.0000 0.0000 0.2500  8 Ag 3.43
2 Ba 0.0000 0.0000 0.7500  8 Ag 3.43
3 Ba 0.5000 0.5000 0.2500  8 Ag 3.43
4 Ba 0.5000 0.5000 0.7500  8 Ag 3.43
5 Ag 0.1681 0.3319 0.0000  5 Ag 2.77-3.06
6 Ag 0.1681 0.6681 0.5000  5 Ag 2.77-3.06
7 Ag 0.3319 0.1681 0.5000  5 Ag 2.77-3.06
8 Ag 0.3319 0.8319 0.0000  5 Ag 2.77-3.06
9 Ag 0.6681 0.1681 0.0000  5 Ag 2.77-3.06
10 Ag 0.6681 0.8319 0.5000  5 Ag 2.77-3.06
11 Ag 0.8319 0.3319 0.5000  5 Ag 2.77-3.06
12 Ag 0.8319 0.6681 0.0000  5 Ag 2.77-3.06

## Properties
- Space group: I4/mcm (140)
- Energy of formation from the pure elements: -0.085 eV/atom